Entry 1:
Density functional theory data (PBE-GGA) for a relaxed structure of Li2PmSnPd4.

The size of the total moment comes out at 0.0 μB per cell. The density of states at the Fermi level comes out at 4.16 states/eV/f.u. The energy of formation from the pure elements comes out at -0.61 eV per atom. Its symmetry is R-3m (166).

a b c (Å): 8.135 8.135 8.135
angles (deg): 32.81 32.81 32.81
Fractional coordinates of all 8 atoms:
Li 0.244 0.244 0.244
Li 0.756 0.756 0.756
Pm 0.000 0.000 0.000
Sn 0.500 0.500 0.500
Pd 0.128 0.128 0.128
Pd 0.385 0.385 0.385
Pd 0.615 0.615 0.615
Pd 0.872 0.872 0.872

---

Entry 2:
Density functional theory data (PBE-GGA) for a relaxed structure of YHg2Pd.

The size of the total moment comes out at 0.0 μB per cell. The density of states at the Fermi level comes out at 3.06 states/eV/f.u. The energy of formation from the pure elements comes out at 0.10 eV per atom. Its symmetry is R-3m (166).

a b c (Å): 3.326 3.326 31.015
angles (deg): 90.00 90.00 120.00
Fractional coordinates of all 12 atoms:
Y 0.000 0.000 0.000
Y 0.333 0.667 0.667
Y 0.667 0.333 0.333
Hg 0.000 0.000 0.099
Hg 0.000 0.000 0.901
Hg 0.333 0.667 0.568
Hg 0.333 0.667 0.765
Hg 0.667 0.333 0.235
Hg 0.667 0.333 0.432
Pd 0.000 0.000 0.500
Pd 0.333 0.667 0.167
Pd 0.667 0.333 0.833

---

Entry 3:
Density functional theory data (PBE-GGA) for a relaxed structure of BPRhCl.

The size of the total moment comes out at 0.0 μB per cell. The energy above the most stable polymorph in this dataset comes out at 143 meV per atom. The density of states at the Fermi level comes out at 1.89 states/eV/f.u. Its symmetry is Pm (6). As for the formation energy without anion corrections: -0.079 eV per atom.

a b c (Å): 4.025 3.045 5.446
angles (deg): 90.00 101.19 90.00
Fractional coordinates of all 4 atoms:
B 0.000 0.000 0.000
P 0.680 0.500 0.924
Rh 0.131 0.500 0.728
Cl 0.265 0.000 0.320

---

Entry 4:
Density functional theory data (PBE-GGA) for a relaxed structure of PRu2W.

The size of the total moment comes out at 0.0 μB per cell. The density of states at the Fermi level comes out at 1.70 states/eV/f.u. The energy of formation from the pure elements comes out at -0.15 eV per atom. Its symmetry is P4mm (99).

a b c (Å): 2.879 2.879 6.671
angles (deg): 90.00 90.00 90.00
Fractional coordinates of all 4 atoms:
P 0.000 0.000 0.000
Ru 0.000 0.000 0.511
Ru 0.500 0.500 0.805
W 0.500 0.500 0.247

---

Entry 5:
Density functional theory data (PBE-GGA) for a relaxed structure of Rb3TiBi.

The size of the total moment comes out at 0.3 μB per cell. The energy above the most stable polymorph in this dataset comes out at 0 meV per atom. The density of states at the Fermi level comes out at 28.50 states/eV/f.u. The energy of formation from the pure elements comes out at 0.88 eV per atom. Its symmetry is Pm-3m (221).

a b c (Å): 7.125 7.125 7.125
angles (deg): 90.00 90.00 90.00
Fractional coordinates of all 5 atoms:
Rb 0.000 0.000 0.500
Rb 0.000 0.500 0.000
Rb 0.500 0.000 0.000
Ti 0.500 0.500 0.500
Bi 0.000 0.000 0.000

---

Entry 6:
Density functional theory data (PBE-GGA) for a relaxed structure of KSiNi2.

The size of the total moment comes out at 0.0 μB per cell. The density of states at the Fermi level comes out at 4.15 states/eV/f.u. Its symmetry is Pmm2 (25). As for the formation energy without anion corrections: 0.187 eV per atom.

a b c (Å): 2.694 3.546 7.266
angles (deg): 90.00 90.00 90.00
Fractional coordinates of all 4 atoms:
K 0.000 0.000 0.000
Si 0.500 0.500 0.650
Ni 0.000 0.000 0.511
Ni 0.500 0.500 0.343

---

Entry 7:
Density functional theory data (PBE-GGA) for a relaxed structure of KScTa2.

The size of the total moment comes out at 0.0 μB per cell. The energy above the most stable polymorph in this dataset comes out at 491 meV per atom. The density of states at the Fermi level comes out at 4.97 states/eV/f.u. The energy of formation from the pure elements comes out at 1.05 eV per atom. Its symmetry is Immm (71).

a b c (Å): 2.954 5.325 11.562
angles (deg): 90.00 90.00 90.00
Fractional coordinates of all 8 atoms:
K 0.000 0.000 0.000
K 0.500 0.500 0.500
Sc 0.000 0.000 0.500
Sc 0.500 0.500 0.000
Ta 0.000 0.500 0.229
Ta 0.000 0.500 0.771
Ta 0.500 0.000 0.271
Ta 0.500 0.000 0.729

---

Entry 8:
Density functional theory data (PBE-GGA) for a relaxed structure of NaSnC2.

The size of the total moment comes out at 0.0 μB per cell. The density of states at the Fermi level comes out at 1.17 states/eV/f.u. The energy of formation from the pure elements comes out at 1.70 eV per atom. Its symmetry is I-42d (122).

a b c (Å): 4.750 4.750 13.025
angles (deg): 90.00 90.00 90.00
Fractional coordinates of all 16 atoms:
Na 0.000 0.000 0.000
Na 0.000 0.500 0.250
Na 0.500 0.000 0.750
Na 0.500 0.500 0.500
Sn 0.000 0.000 0.500
Sn 0.000 0.500 0.750
Sn 0.500 0.000 0.250
Sn 0.500 0.500 0.000
C 0.143 0.250 0.625
C 0.250 0.643 0.875
C 0.250 0.857 0.375
C 0.357 0.250 0.125
C 0.643 0.750 0.125
C 0.750 0.143 0.375
C 0.750 0.357 0.875
C 0.857 0.750 0.625

---

Entry 9:
Density functional theory data (PBE-GGA) for a relaxed structure of CrB.

The size of the total moment comes out at 0.0 μB per cell. The density of states at the Fermi level comes out at 1.36 states/eV/f.u. The energy of formation from the pure elements comes out at -0.30 eV per atom. Its symmetry is R-3m (166).

a b c (Å): 2.903 2.903 14.488
angles (deg): 90.00 90.00 120.00
Fractional coordinates of all 12 atoms:
Cr 0.000 0.000 0.098
Cr 0.000 0.000 0.902
Cr 0.333 0.667 0.569
Cr 0.333 0.667 0.764
Cr 0.667 0.333 0.236
Cr 0.667 0.333 0.431
B 0.000 0.000 0.333
B 0.000 0.000 0.667
B 0.333 0.667 0.000
B 0.333 0.667 0.334
B 0.667 0.333 0.000
B 0.667 0.333 0.666

---

Entry 10:
Density functional theory data (PBE-GGA) for a relaxed structure of YZrHg3.

The size of the total moment comes out at 0.8 μB per cell. The energy above the most stable polymorph in this dataset comes out at 0 meV per atom. The density of states at the Fermi level comes out at 6.40 states/eV/f.u. The energy of formation from the pure elements comes out at 0.43 eV per atom. Its symmetry is Pm-3m (221).

a b c (Å): 5.393 5.393 5.393
angles (deg): 90.00 90.00 90.00
Fractional coordinates of all 5 atoms:
Y 0.000 0.000 0.000
Zr 0.500 0.500 0.500
Hg 0.000 0.500 0.500
Hg 0.500 0.000 0.500
Hg 0.500 0.500 0.000

---

Entry 11:
Density functional theory data (PBE-GGA) for a relaxed structure of Cr5In.

The size of the total moment comes out at 0.0 μB per cell. The energy above the most stable polymorph in this dataset comes out at 0 meV per atom. The density of states at the Fermi level comes out at 4.54 states/eV/f.u. The energy of formation from the pure elements comes out at 0.26 eV per atom. Its symmetry is C2/m (12).

a b c (Å): 9.326 2.933 6.060
angles (deg): 90.00 108.69 90.00
Fractional coordinates of all 12 atoms:
Cr 0.000 0.000 0.000
Cr 0.176 0.500 0.856
Cr 0.178 0.500 0.315
Cr 0.322 0.000 0.685
Cr 0.324 0.000 0.144
Cr 0.500 0.500 0.000
Cr 0.676 0.000 0.856
Cr 0.678 0.000 0.315
Cr 0.822 0.500 0.685
Cr 0.824 0.500 0.144
In 0.000 0.000 0.500
In 0.500 0.500 0.500

---

Entry 12:
Density functional theory data (PBE-GGA) for a relaxed structure of SmURu2.

The size of the total moment comes out at 0.9 μB per cell. The density of states at the Fermi level comes out at 5.87 states/eV/f.u. The energy of formation from the pure elements comes out at -0.28 eV per atom. Its symmetry is P4/mmm (123).

a b c (Å): 3.359 3.359 7.204
angles (deg): 90.00 90.00 90.00
Fractional coordinates of all 4 atoms:
Sm 0.000 0.000 0.000
U 0.000 0.000 0.500
Ru 0.500 0.500 0.297
Ru 0.500 0.500 0.703

---

Entry 13:
Density functional theory data (PBE-GGA) for a relaxed structure of MoBr.

The size of the total moment comes out at 0.0 μB per cell. The energy above the most stable polymorph in this dataset comes out at 169 meV per atom. The density of states at the Fermi level comes out at 2.65 states/eV/f.u. Its symmetry is R-3m (166). As for the formation energy without anion corrections: 0.095 eV per atom.

a b c (Å): 3.346 3.346 27.830
angles (deg): 90.00 90.00 120.00
Fractional coordinates of all 12 atoms:
Mo 0.000 0.000 0.137
Mo 0.000 0.000 0.863
Mo 0.333 0.667 0.530
Mo 0.333 0.667 0.803
Mo 0.667 0.333 0.197
Mo 0.667 0.333 0.470
Br 0.000 0.000 0.397
Br 0.000 0.000 0.603
Br 0.333 0.667 0.064
Br 0.333 0.667 0.269
Br 0.667 0.333 0.731
Br 0.667 0.333 0.936